The following is a DFT calculation (PBE) of a geometry-optimized ScAgN3 structure.

Lattice parameters (Å, degrees): 3.983 3.983 3.983 90.00 90.00 90.00
Site moments in Bohr magnetons follow the coordinates.
Fractional coordinates of all 5 atoms:
Sc: 0.500 0.500 0.500  -0.06
N: 0.000 0.500 0.000  0.21
N: 0.000 0.000 0.500  0.16
N: 0.500 0.000 0.000  0.39
Ag: 0.000 0.000 0.000  0.02

Output
Formation energy without anion corrections   1.48 eV/atom